[1]
Entry from Alexandria via LeMat-Bulk: an optimized crystal structure of Cu2SiRu (GGA-PBE).

The energy relative to the elements, uncorrected comes out at -0.153 eV/atom. The total energy comes out at -0.2159 Ha/atom.

a = 3.033 Å, b = 3.033 Å, c = 5.476 Å
α = 90.00°, β = 90.00°, γ = 90.00°
Fractional coordinates of all 4 atoms:
Cu: 0.000 0.000 0.000
Cu: 0.500 0.500 0.222
Si: 0.500 0.500 0.732
Ru: 0.000 0.000 0.520

[2]
Entry from Alexandria via LeMat-Bulk: an optimized crystal structure of Cu2SiRu (GGA-PBE).

The energy relative to the elements, uncorrected comes out at 0.187 eV/atom. The total energy comes out at -0.2034 Ha/atom.

a = 9.523 Å, b = 9.523 Å, c = 9.523 Å
α = 159.12°, β = 159.12°, γ = 29.70°
Fractional coordinates of all 8 atoms:
Cu: 0.121 0.625 0.996
Cu: 0.375 0.371 0.496
Cu: 0.629 0.125 0.004
Cu: 0.875 0.879 0.504
Si: 0.000 0.000 0.000
Si: 0.750 0.250 0.500
Ru: 0.250 0.750 0.500
Ru: 0.500 0.500 0.000

[3]
Entry from Alexandria via LeMat-Bulk: an optimized crystal structure of Cu2SiRu (GGA-PBE).

The energy relative to the elements, uncorrected comes out at 0.109 eV/atom. The total energy comes out at -0.2063 Ha/atom.

a = 2.672 Å, b = 3.871 Å, c = 4.991 Å
α = 90.00°, β = 90.00°, γ = 90.00°
Fractional coordinates of all 4 atoms:
Cu: 0.000 0.000 0.248
Cu: 0.000 0.000 0.752
Si: 0.500 0.500 0.000
Ru: 0.500 0.500 0.500

[4]
Entry from Alexandria via LeMat-Bulk: an optimized crystal structure of Cu2SiRu (GGA-PBE).

The energy relative to the elements, uncorrected comes out at -0.020 eV/atom. The total energy comes out at -0.2110 Ha/atom.

a = 2.744 Å, b = 4.452 Å, c = 4.227 Å
α = 90.00°, β = 93.55°, γ = 90.00°
Fractional coordinates of all 4 atoms:
Cu: 0.210 0.000 0.255
Cu: 0.790 0.000 0.745
Si: 0.000 0.500 0.500
Ru: 0.500 0.500 0.000

[5]
Entry from Alexandria via LeMat-Bulk: an optimized crystal structure of Cu4SiRu (GGA-PBE).

The energy relative to the elements, uncorrected comes out at 0.267 eV/atom. The total energy comes out at -0.1806 Ha/atom.

a = 4.742 Å, b = 4.742 Å, c = 4.742 Å
α = 60.00°, β = 60.00°, γ = 60.00°
Fractional coordinates of all 6 atoms:
Cu: 0.125 0.125 0.125
Cu: 0.125 0.125 0.625
Cu: 0.125 0.625 0.125
Cu: 0.625 0.125 0.125
Si: 0.500 0.500 0.500
Ru: 0.750 0.750 0.750

[6]
Entry from Alexandria via LeMat-Bulk: an optimized crystal structure of Cu2SiRu (GGA-PBE).

The energy relative to the elements, uncorrected comes out at 0.058 eV/atom. The total energy comes out at -0.2082 Ha/atom.

a = 4.502 Å, b = 4.502 Å, c = 2.810 Å
α = 90.00°, β = 90.00°, γ = 114.52°
Fractional coordinates of all 4 atoms:
Cu: 0.000 0.500 0.000
Cu: 0.500 0.000 0.000
Si: 0.000 0.000 0.500
Ru: 0.500 0.500 0.500

Question: Among the records above, which one has the highest energy relative to the elements, uncorrected?
Answer: Cu4SiRu

Question: Which value of energy relative to the elements, uncorrected does entry 4 give?
Answer: -0.020 eV/atom